Compound: AcSm2TmAs4
Source: Alexandria via LeMat-Bulk
Functional: PBE-GGA
Structure: relaxed

abc: 7.390 4.272 7.398
angles: 90.00 109.37 90.00
Space group P2/m (No. 10)
Inequivalent atoms, fractional coordinates:
Ac 0.000 0.000 0.000
Sm 0.000 0.500 0.500
Sm 0.500 0.000 0.500
Tm 0.500 0.500 0.000
As 0.262 0.000 0.750
As 0.265 0.500 0.259

ΔH_f (0 K): -1458.6 meV/atom
N(E_F): 0.092 states/eV/atom